Na2Te5As2: optimized geometry, PBE-GGA.

a = 5.605 Å, b = 7.430 Å, c = 9.179 Å
α = 119.16°, β = 107.87°, γ = 89.92°
Positions (direct):
Te: 0.679 0.062 0.360
As: 0.166 0.970 0.332
As: 0.834 0.030 0.668
Na: 0.556 0.287 0.111
Te: 0.321 0.938 0.640
Te: 0.093 0.554 0.185
Te: 0.907 0.446 0.815
Na: 0.444 0.713 0.889
Te: 0.000 0.000 0.000

Summary:
Electronic total energy: -30.08 eV per cell
Polymorph energy (0 for the lowest one): 0 meV/atom
Energy relative to the elements, uncorrected: -0.271 eV per atom